Crystalline KAcZn2F8 at its relaxed geometry, computed with GGA-PBE.

Summary:
total magnetic moment	0.000	μB/atom
formation energy (no corrections)	-36.39	eV/f.u.
E_tot	-4.926	eV/atom

Structure (POSCAR):
```
KAcZn2F8
1.0
-2.833 2.833 6.109
2.833 -2.833 6.109
2.833 2.833 -6.109
K Ac Zn F
1 1 2 8
Direct
0.000 0.000 0.000
0.750 0.250 0.500
0.250 0.750 0.500
0.500 0.500 0.000
0.014 0.934 0.593
0.066 0.660 0.080
0.159 0.274 0.611
0.340 0.420 0.407
0.452 0.841 0.115
0.580 0.986 0.920
0.663 0.548 0.389
0.726 0.337 0.885
```

=====

Crystalline AcLa2F at its relaxed geometry, computed with GGA-PBE.

Summary:
total magnetic moment	0.000	μB/atom
formation energy (no corrections)	-4.80	eV/f.u.
E_tot	-5.160	eV/atom

Structure (POSCAR):
```
AcLa2F
1.0
3.952 0.000 0.000
-1.976 3.423 0.000
0.000 0.000 27.294
Ac La F
3 6 3
Direct
0.000 0.000 0.000
0.333 0.667 0.667
0.667 0.333 0.333
0.000 0.000 0.221
0.000 0.000 0.779
0.333 0.667 0.446
0.333 0.667 0.888
0.667 0.333 0.112
0.667 0.333 0.554
0.000 0.000 0.500
0.333 0.667 0.167
0.667 0.333 0.833
```

=====

Crystalline AcLaF4 at its relaxed geometry, computed with GGA-PBE.

Summary:
total magnetic moment	0.000	μB/atom
formation energy (no corrections)	-21.08	eV/f.u.
E_tot	-6.267	eV/atom

Structure (POSCAR):
```
AcLaF4
1.0
4.078 0.000 0.000
0.000 4.078 0.000
0.000 0.000 6.745
Ac La F
1 1 4
Direct
0.000 0.000 0.000
0.500 0.500 0.500
0.000 0.500 0.301
0.000 0.500 0.699
0.500 0.000 0.301
0.500 0.000 0.699
```

=====

Crystalline Ac2LaF11 at its relaxed geometry, computed with GGA-PBE.

Summary:
total magnetic moment	0.158	μB/atom
formation energy (no corrections)	-48.53	eV/f.u.
E_tot	-5.875	eV/atom

Structure (POSCAR):
```
Ac2LaF11
1.0
-4.586 5.483 6.031
4.586 -5.483 6.031
4.586 5.483 -6.031
Ac La F
4 2 22
Direct
0.192 0.170 0.362
0.308 0.670 0.978
0.692 0.330 0.022
0.808 0.830 0.638
0.250 0.750 0.500
0.750 0.250 0.500
0.000 0.000 0.000
0.024 0.452 0.768
0.062 0.830 0.626
0.181 0.897 0.078
0.184 0.952 0.428
0.204 0.436 0.374
0.296 0.670 0.232
0.316 0.744 0.768
0.319 0.397 0.715
0.438 0.064 0.768
0.476 0.244 0.428
0.500 0.500 0.000
0.524 0.756 0.572
0.562 0.936 0.232
0.681 0.603 0.285
0.684 0.256 0.232
0.704 0.330 0.768
0.796 0.564 0.626
0.816 0.048 0.572
0.819 0.103 0.922
0.938 0.170 0.374
0.976 0.548 0.232
```

=====

Crystalline AcLa2F11 at its relaxed geometry, computed with GGA-PBE.

Summary:
total magnetic moment	0.159	μB/atom
formation energy (no corrections)	-48.48	eV/f.u.
E_tot	-5.931	eV/atom

Structure (POSCAR):
```
AcLa2F11
1.0
-4.467 5.433 6.113
4.467 -5.433 6.113
4.467 5.433 -6.113
Ac La F
2 4 22
Direct
0.250 0.250 0.000
0.750 0.750 0.000
0.191 0.665 0.856
0.309 0.165 0.474
0.691 0.835 0.526
0.809 0.335 0.144
0.000 0.500 0.500
0.034 0.963 0.277
0.053 0.336 0.129
0.185 0.395 0.579
0.186 0.463 0.929
0.207 0.924 0.871
0.293 0.164 0.717
0.314 0.243 0.277
0.315 0.895 0.210
0.447 0.576 0.283
0.466 0.743 0.929
0.500 0.000 0.500
0.534 0.257 0.071
0.553 0.424 0.717
0.685 0.105 0.790
0.686 0.757 0.723
0.707 0.836 0.283
0.793 0.076 0.129
0.814 0.537 0.071
0.815 0.605 0.421
0.947 0.664 0.871
0.966 0.037 0.723
```

=====

Crystalline Ac2LaS3F3 at its relaxed geometry, computed with GGA-PBE.

Summary:
total magnetic moment	0.000	μB/atom
formation energy (no corrections)	-24.29	eV/f.u.
E_tot	-6.159	eV/atom

Structure (POSCAR):
```
Ac2LaS3F3
1.0
7.544 0.000 0.000
-3.772 6.533 0.000
0.000 0.000 4.152
Ac La S F
2 1 3 3
Direct
0.333 0.667 0.000
0.667 0.333 0.000
0.000 0.000 0.500
0.000 0.739 0.000
0.261 0.261 0.000
0.739 0.000 0.000
0.000 0.419 0.500
0.419 0.000 0.500
0.581 0.581 0.500
```

=====

Crystalline LiAc2F6 at its relaxed geometry, computed with GGA-PBE.

Summary:
total magnetic moment	0.110	μB/atom
formation energy (no corrections)	-32.33	eV/f.u.
E_tot	-5.965	eV/atom

Structure (POSCAR):
```
LiAc2F6
1.0
-2.023 2.969 6.366
2.023 -2.969 6.366
2.023 2.969 -6.366
Li Ac F
1 2 6
Direct
0.000 0.000 0.000
0.351 0.351 0.000
0.649 0.649 0.000
0.063 0.822 0.241
0.220 0.500 0.720
0.419 0.178 0.241
0.581 0.822 0.759
0.780 0.500 0.280
0.937 0.178 0.759
```

=====

Crystalline LiAcF2 at its relaxed geometry, computed with GGA-PBE.

Summary:
total magnetic moment	0.000	μB/atom
formation energy (no corrections)	-9.64	eV/f.u.
E_tot	-4.852	eV/atom

Structure (POSCAR):
```
LiAcF2
1.0
3.543 0.000 0.000
-1.771 3.068 0.000
0.000 0.000 17.958
Li Ac F
3 3 6
Direct
0.000 0.000 0.000
0.333 0.667 0.667
0.667 0.333 0.333
0.000 0.000 0.500
0.333 0.667 0.167
0.667 0.333 0.833
0.000 0.000 0.277
0.000 0.000 0.723
0.333 0.667 0.390
0.333 0.667 0.944
0.667 0.333 0.056
0.667 0.333 0.610
```

=====

no.,D(E_F) (states/eV per cell)
1,0.0
2,12.5
3,2.5
4,33.2
5,37.1
6,0.0
7,1.4
8,5.2